(1)
Pa2MnGa8 | GGA-PBE | relaxed

Lattice parameters (Å, degrees): 4.3230 4.3230 11.1247 90.00 90.00 90.00
Space group P4/mmm (No. 123)
Asymmetric unit:
Pa 0.0000 0.0000 0.1942 (multiplicity 2)
Mn 0.0000 0.0000 0.5000 (multiplicity 1)
Ga 0.0000 0.5000 0.0000 (multiplicity 2)
Ga 0.0000 0.5000 0.3810 (multiplicity 4)
Ga 0.5000 0.5000 0.1910 (multiplicity 2)

***

(2)
Pa2Mn3Ga2 | GGA-PBE | relaxed

Lattice parameters (Å, degrees): 12.0275 4.3633 4.7102 90.00 94.60 90.00
Space group C2/m (No. 12)
Asymmetric unit:
Pa 0.1439 0.0000 0.3902 (multiplicity 4)
Mn 0.0000 0.0000 0.0000 (multiplicity 2)
Mn 0.2018 0.0000 0.8532 (multiplicity 4)
Ga 0.1000 0.5000 0.8888 (multiplicity 4)

***

(3)
PaMnGa | GGA-PBE | relaxed

Lattice parameters (Å, degrees): 6.1420 5.5738 9.0778 90.00 132.36 90.00
Space group P2_1/c (No. 14)
Asymmetric unit:
Pa 0.1758 0.1414 0.3881 (multiplicity 4)
Mn 0.3107 0.6478 0.3490 (multiplicity 4)
Ga 0.3373 0.6336 0.6321 (multiplicity 4)

***

(4)
PaMnGa2 | GGA-PBE | relaxed

Lattice parameters (Å, degrees): 3.0372 3.0372 27.5352 90.00 90.00 120.00
Space group R-3m (No. 166, hexagonal axes)
Asymmetric unit:
Pa 0.0000 0.0000 0.0000 (multiplicity 3)
Mn 0.0000 0.0000 0.5000 (multiplicity 3)
Ga 0.0000 0.0000 0.2391 (multiplicity 6)

***

(5)
Pa2Mn2Ga | GGA-PBE | relaxed

Lattice parameters (Å, degrees): 9.6598 6.0303 7.1771 90.00 119.16 90.00
Space group C2/c (No. 15)
Asymmetric unit:
Pa 0.2136 0.0043 0.3350 (multiplicity 8)
Mn 0.0340 0.2127 0.5897 (multiplicity 8)
Ga 0.0000 0.4123 0.2500 (multiplicity 4)

***

(6)
Pa4MnGa12 | GGA-PBE | relaxed

Lattice parameters (Å, degrees): 8.6209 8.6209 8.6209 90.00 90.00 90.00
Space group Im-3m (No. 229)
Asymmetric unit:
Pa 0.2500 0.2500 0.2500 (multiplicity 8)
Mn 0.0000 0.0000 0.0000 (multiplicity 2)
Ga 0.0000 0.0000 0.2895 (multiplicity 12)
Ga 0.0000 0.2500 0.5000 (multiplicity 12)

***

(7)
PaMnGa | GGA-PBE | relaxed

Lattice parameters (Å, degrees): 10.7106 4.5046 4.6212 90.00 104.80 90.00
Space group C2/m (No. 12)
Asymmetric unit:
Pa 0.1305 0.0000 0.3172 (multiplicity 4)
Mn 0.1865 0.0000 0.8423 (multiplicity 4)
Ga 0.0820 0.5000 0.8027 (multiplicity 4)

***

(8)
PaMnGa2 | GGA-PBE | relaxed

Lattice parameters (Å, degrees): 3.8564 3.8564 4.7752 90.00 90.00 90.00
Space group P4/mmm (No. 123)
Asymmetric unit:
Pa 0.0000 0.0000 0.0000 (multiplicity 1)
Mn 0.5000 0.5000 0.0000 (multiplicity 1)
Ga 0.0000 0.5000 0.5000 (multiplicity 2)

***

Number 1: volume 18.90 Å³ per atom, formation energy -331 meV/atom, raw total energy -5.09 eV/atom. Number 2: volume 17.60 Å³ per atom, formation energy -275 meV/atom, raw total energy -7.78 eV/atom. Number 3: volume 19.14 Å³ per atom, formation energy -342 meV/atom, raw total energy -7.57 eV/atom. Number 4: volume 18.33 Å³ per atom, formation energy -48 meV/atom, raw total energy -6.23 eV/atom. Number 5: volume 18.25 Å³ per atom, formation energy -209 meV/atom, raw total energy -8.28 eV/atom. Number 6: volume 18.84 Å³ per atom, formation energy -390 meV/atom, raw total energy -5.30 eV/atom. Number 7: volume 17.96 Å³ per atom, formation energy -424 meV/atom, raw total energy -7.66 eV/atom. Number 8: volume 17.75 Å³ per atom, formation energy -114 meV/atom, raw total energy -6.29 eV/atom.